Entry 1:
# TbSm2Dy9, optimized geometry, DFT PBE
# E: -4.57 eV/atom
data_TbSm2Dy9
_chemical_formula_sum 'Tb1 Sm2 Dy9'
_cell_length_a 11.2469
_cell_length_b 11.2469
_cell_length_c 3.4947
_cell_angle_alpha 90.00
_cell_angle_beta 90.00
_cell_angle_gamma 120.00
_space_group_name_H-M_alt 'P 6/m m m'
_space_group_IT_number 191
_space_group_name_Hall '-P 6 2'
loop_
_atom_site_label
_atom_site_type_symbol
_atom_site_fract_x
_atom_site_fract_y
_atom_site_fract_z
_atom_site_occupancy
Tb1 Tb 0.0000 0.0000 0.0000 1
Sm1 Sm 0.3333 0.6667 0.0000 1
Dy1 Dy 0.0000 0.5000 0.0000 1
Dy2 Dy 0.1747 0.3493 0.5000 1

***

Entry 2:
# TbSm3Dy6, optimized geometry, DFT PBE
# E: -4.41 eV/atom
data_TbSm3Dy6
_chemical_formula_sum 'Tb2 Sm6 Dy12'
_cell_length_a 11.5115
_cell_length_b 6.5939
_cell_length_c 9.6058
_cell_angle_alpha 90.00
_cell_angle_beta 113.97
_cell_angle_gamma 90.00
_space_group_name_H-M_alt 'C 1 2/m 1'
_space_group_IT_number 12
loop_
_space_group_symop_operation_xyz
'x,y,z'
'-x,-y,-z'
'-x,y,-z'
'x,-y,z'
'x+1/2,y+1/2,z'
'-x+1/2,-y+1/2,-z'
'-x+1/2,y+1/2,-z'
'x+1/2,-y+1/2,z'
loop_
_atom_site_label
_atom_site_type_symbol
_atom_site_fract_x
_atom_site_fract_y
_atom_site_fract_z
_atom_site_occupancy
Tb1 Tb 0.0000 0.0000 0.0000 1
Sm1 Sm 0.0000 0.5000 0.5000 1
Sm2 Sm 0.0685 0.5000 0.1964 1
Dy1 Dy 0.1375 0.0000 0.4223 1
Dy2 Dy 0.1863 0.2473 0.8093 1

***

Entry 3:
# Tb3Sm4Dy8, optimized geometry, DFT PBE
# E: -4.26 eV/atom
data_Tb3Sm4Dy8
_chemical_formula_sum 'Tb6 Sm8 Dy16'
_cell_length_a 13.4046
_cell_length_b 12.7954
_cell_length_c 6.7610
_cell_angle_alpha 90.00
_cell_angle_beta 120.22
_cell_angle_gamma 90.00
_space_group_name_H-M_alt 'C 1 2/m 1'
_space_group_IT_number 12
loop_
_space_group_symop_operation_xyz
'x,y,z'
'-x,-y,-z'
'-x,y,-z'
'x,-y,z'
'x+1/2,y+1/2,z'
'-x+1/2,-y+1/2,-z'
'-x+1/2,y+1/2,-z'
'x+1/2,-y+1/2,z'
loop_
_atom_site_label
_atom_site_type_symbol
_atom_site_fract_x
_atom_site_fract_y
_atom_site_fract_z
_atom_site_occupancy
Tb1 Tb 0.0000 0.0000 0.0000 1
Tb2 Tb 0.2500 0.2500 0.5000 1
Sm1 Sm 0.0000 0.5000 0.0000 1
Sm2 Sm 0.0000 0.5000 0.5000 1
Sm3 Sm 0.2500 0.2500 0.0000 1
Dy1 Dy 0.0000 0.1399 0.5000 1
Dy2 Dy 0.0000 0.2450 0.0000 1
Dy3 Dy 0.2308 0.0000 0.9663 1
Dy4 Dy 0.2333 0.0000 0.4910 1

***

| no. | size of the total moment (μB per atom) |
| --- | --- |
| 1 | 0.000 |
| 2 | 0.000 |
| 3 | 0.000 |